# Ca5Nb4Co2O18 | the Alexandria database | GGA+U | relaxed
data_Ca5Nb4Co2O18
_cell_length_a 9.584
_cell_length_b 5.446
_cell_length_c 16.619
_cell_angle_alpha 90.00
_cell_angle_beta 124.86
_cell_angle_gamma 90.00
_space_group_name_H-M_alt 'P 1 c 1'
_space_group_IT_number 7
loop_
_space_group_symop_operation_xyz
'x,y,z'
'x,-y,z+1/2'
loop_
_atom_site_label
_atom_site_fract_x
_atom_site_fract_y
_atom_site_fract_z
_atom_site_occupancy
Ca1 0.000 0.231 0.000 1
Ca2 0.106 0.256 0.798 1
Ca3 0.326 0.246 0.662 1
Ca4 0.439 0.260 0.470 1
Ca5 0.771 0.266 0.134 1
Nb1 0.041 0.259 0.403 1
Nb2 0.220 0.247 0.231 1
Nb3 0.573 0.249 0.907 1
Nb4 0.709 0.238 0.726 1
Co1 0.381 0.247 0.062 1
Co2 0.886 0.252 0.567 1
O1 0.008 0.464 0.150 1
O2 0.088 0.049 0.647 1
O3 0.152 0.173 0.325 1
O4 0.206 0.446 0.955 1
O5 0.233 0.059 0.512 1
O6 0.278 0.332 0.138 1
O7 0.348 0.464 0.817 1
O8 0.415 0.026 0.310 1
O9 0.481 0.164 0.984 1
O10 0.543 0.455 0.621 1
O11 0.564 0.044 0.167 1
O12 0.624 0.315 0.807 1
O13 0.685 0.462 0.491 1
O14 0.768 0.040 0.989 1
O15 0.820 0.164 0.655 1
O16 0.882 0.465 0.286 1
O17 0.914 0.053 0.846 1
O18 0.960 0.334 0.482 1
# - Calculated total energy: -7.658 eV/atom